Density functional theory data (PBE-GGA) for an optimized crystal structure of Tb9Nd11Dy4.

POSCAR file:
```
Tb9Nd11Dy4
1.0
-2.574 1.160 2.351
-10.852 -7.301 -8.277
6.150 -8.858 11.103
Tb Nd Dy
9 11 4
direct
0.500 0.631 0.165
0.500 0.369 0.835
0.500 0.165 0.631
0.500 0.835 0.369
0.500 0.786 0.932
0.500 0.214 0.068
0.500 0.932 0.786
0.500 0.068 0.214
0.500 0.500 0.500
0.000 0.595 0.957
0.000 0.405 0.043
0.000 0.957 0.595
0.000 0.043 0.405
0.000 0.632 0.368
0.000 0.368 0.632
0.000 0.840 0.160
0.000 0.160 0.840
0.000 0.000 0.000
0.000 0.708 0.708
0.000 0.292 0.292
0.500 0.555 0.759
0.500 0.445 0.241
0.500 0.759 0.555
0.500 0.241 0.445
```

## Properties
The calculation puts the magnetization at 0.000 μB/f.u. The formation energy comes out at 0.06 eV/atom.

***

Density functional theory data (PBE-GGA) for an optimized crystal structure of Cd5Sb3.

POSCAR file:
```
Cd5Sb3
1.0
-3.517 -1.567 -4.989
-4.305 -2.601 3.798
-2.436 4.483 0.309
Cd Sb
5 3
direct
0.000 0.000 0.000
0.000 0.500 0.000
0.500 0.000 0.000
0.242 0.242 0.500
0.758 0.758 0.500
0.500 0.500 0.000
0.748 0.252 0.500
0.252 0.748 0.500
```

## Properties
The calculation puts the magnetization at 0.000 μB/f.u. For the energy above the lowest structure with this stoichiometry, the calculation gives 96 meV/atom. The formation energy without anion corrections is 0.1204 eV per atom.

***

Density functional theory data (PBE-GGA) for an optimized crystal structure of InCF2.

POSCAR file:
```
InCF2
1.0
-0.363 7.479 1.320
-0.294 6.388 4.113
2.261 6.781 2.593
C F In
1 2 1
direct
0.000 0.000 0.000
0.918 0.918 0.918
0.082 0.082 0.082
0.500 0.500 0.500
```

## Properties
The calculation puts the magnetization at 0.000 μB/f.u. For the energy above the lowest structure with this stoichiometry, the calculation gives 318 meV/atom. The formation energy without anion corrections is 0.3087 eV per atom.

***

Look up the magnetization of the first one.
0.000 μB/f.u.